The following is a GGA-PBE calculation of a relaxed VBiP3 crystal, from Alexandria.

Total magnetic moment: 2.58 μB per cell
SG: Pm-3m, No. 221
Energy above the most stable polymorph in this dataset: 1.330 eV per atom

Cell: 5.1670 5.1670 5.1670 Å, 90.00 90.00 90.00°
Closest atoms and distances in Å follow each position.
Element x y z (fractional)
V 0.0000 0.0000 0.0000  12 P 3.65
Bi 0.5000 0.5000 0.5000  6 P 2.58
P 0.0000 0.5000 0.5000  2 Bi 2.58
P 0.5000 0.0000 0.5000  2 Bi 2.58
P 0.5000 0.5000 0.0000  2 Bi 2.58